{"formula": "K2BaPO4", "functional": "PBE", "state": "optimized geometry", "n_ef_per_ev_cell": 1.663, "raw_formation_energy_mev_per_atom": -2059, "spacegroup": "I-4", "lattice": [[-3.339, 3.339, 3.800], [3.339, -3.339, 3.800], [3.339, 3.339, -3.800]], "species": ["K", "K", "Ba", "P", "O", "O", "O", "O"], "fractional_positions": [[0.000, 0.000, 0.000], [0.750, 0.250, 0.500], [0.250, 0.750, 0.500], [0.500, 0.500, 0.000], [0.260, 0.229, 0.732], [0.472, 0.740, 0.969], [0.496, 0.528, 0.268], [0.771, 0.504, 0.031]]}



{"formula": "KBaP2O6", "functional": "PBE", "state": "optimized geometry", "n_ef_per_ev_cell": 3.234, "raw_formation_energy_mev_per_atom": -2201, "spacegroup": "C2/c", "lattice": [[5.318, -5.426, 0.000], [5.318, 5.426, 0.000], [-1.277, 0.000, 5.921]], "species": ["K", "K", "Ba", "Ba", "P", "P", "P", "P", "O", "O", "O", "O", "O", "O", "O", "O", "O", "O", "O", "O"], "fractional_positions": [[0.101, 0.899, 0.750], [0.899, 0.101, 0.250], [0.321, 0.679, 0.250], [0.679, 0.321, 0.750], [0.195, 0.364, 0.751], [0.364, 0.195, 0.251], [0.636, 0.805, 0.749], [0.805, 0.636, 0.249], [0.029, 0.241, 0.692], [0.161, 0.561, 0.819], [0.241, 0.029, 0.192], [0.298, 0.351, 0.420], [0.351, 0.298, 0.920], [0.439, 0.839, 0.681], [0.561, 0.161, 0.319], [0.649, 0.702, 0.080], [0.702, 0.649, 0.580], [0.759, 0.971, 0.808], [0.839, 0.439, 0.181], [0.971, 0.759, 0.308]]}



{"formula": "K3BaP2O8", "functional": "PBE", "state": "optimized geometry", "n_ef_per_ev_cell": 11.581, "raw_formation_energy_mev_per_atom": -2292, "spacegroup": "P-3m1", "lattice": [[5.960, 0.000, 0.000], [-2.980, 5.162, 0.000], [0.000, 0.000, 8.426]], "species": ["K", "K", "K", "Ba", "P", "P", "O", "O", "O", "O", "O", "O", "O", "O"], "fractional_positions": [[0.000, 0.000, 0.000], [0.333, 0.667, 0.745], [0.667, 0.333, 0.255], [0.000, 0.000, 0.500], [0.333, 0.667, 0.230], [0.667, 0.333, 0.770], [0.191, 0.381, 0.290], [0.191, 0.809, 0.290], [0.333, 0.667, 0.047], [0.381, 0.191, 0.710], [0.619, 0.809, 0.290], [0.667, 0.333, 0.953], [0.809, 0.191, 0.710], [0.809, 0.619, 0.710]]}



{"formula": "KBaPa2O7", "functional": "PBE", "state": "optimized geometry", "n_ef_per_ev_cell": 9.916, "raw_formation_energy_mev_per_atom": -3017, "spacegroup": "I-4m2", "lattice": [[-2.198, 2.198, 11.574], [2.198, -2.198, 11.574], [2.198, 2.198, -11.574]], "species": ["K", "Ba", "Pa", "Pa", "O", "O", "O", "O", "O", "O", "O"], "fractional_positions": [[0.000, 0.000, 0.000], [0.250, 0.750, 0.500], [0.653, 0.153, 0.500], [0.847, 0.347, 0.500], [0.166, 0.166, 0.000], [0.333, 0.333, 0.000], [0.568, 0.068, 0.500], [0.667, 0.667, 0.000], [0.750, 0.250, 0.500], [0.834, 0.834, 0.000], [0.932, 0.432, 0.500]]}